# Cs4PAu2, optimized geometry, DFT GGA-PBE
# - ΔH_f (0 K): -82 meV per atom
# - Crystal system: tetragonal
# - Energy: -2.28 eV per atom
# - Calculated volume: 443.5 Å³ per cell
# - DOS at the Fermi energy: 0.567 states/eV/atom
# - Magnetic moment: 0.03 μB/atom
data_Cs4PAu2
_space_group_name_H-M_alt 'P 1'
_space_group_IT_number 1
_cell_length_a 6.8614
_cell_length_b 6.8614
_cell_length_c 10.5965
_cell_angle_alpha 71.11
_cell_angle_beta 71.11
_cell_angle_gamma 90.00
loop_
_space_group_symop_operation_xyz
'x,y,z'
loop_
_atom_site_label
_atom_site_type_symbol
_atom_site_fract_x
_atom_site_fract_y
_atom_site_fract_z
Cs1 Cs 0.6906 0.6906 0.6188
Cs2 Cs 0.3094 0.3094 0.3812
Cs3 Cs 0.0000 0.5000 0.0000
Cs4 Cs 0.5000 0.0000 0.0000
P1 P 0.0000 0.0000 0.0000
Au1 Au 0.8743 0.8743 0.2515
Au2 Au 0.1257 0.1257 0.7485